Here is CsBa2NaAs after structural relaxation from Alexandria. Energies are from PBE.

Energy relative to the lowest polymorph listed for this composition: 42.5 meV per atom
Total DFT energy (no corrections): -12.3 eV per cell
Calculated density: 3.09 g/cm³
Crystal system: tetragonal
Space-group type: P4/mmm (123)

Cell: 6.551 6.551 6.333 Å, 90.00 90.00 90.00°
Fractional positions:
Ba 0.000 0.500 0.000
Cs 0.500 0.500 0.500
Na 0.000 0.000 0.500
As 0.000 0.000 0.000
Ba 0.500 0.000 0.000

***

Here is SnMoH2 after structural relaxation from Alexandria. Energies are from PBE.

Energy relative to the lowest polymorph listed for this composition: 761.4 meV per atom
Total DFT energy (no corrections): -17.4 eV per cell
Calculated density: 7.83 g/cm³
Crystal system: cubic
Space-group type: Fm-3m (225)

Cell: 4.021 4.021 4.021 Å, 60.00 60.00 60.00°
Last column: magnetic moment on the atom in μB.
Fractional positions:
Mo 0.000 0.000 0.000  1.38
Sn 0.500 0.500 0.500  -0.04
H 0.250 0.250 0.250  -0.01
H 0.750 0.750 0.750  -0.01

***

Here is NaSnI2 after structural relaxation from Alexandria. Energies are from PBE.

Energy relative to the lowest polymorph listed for this composition: 364.5 meV per atom
Total DFT energy (no corrections): -9.7 eV per cell
ΔE_f (raw): -0.331 eV per atom
Calculated density: 3.22 g/cm³
Crystal system: trigonal
Space-group type: R-3m (166)

Cell: 5.085 5.085 9.570 Å, 74.59 74.59 60.00°
Fractional positions:
I 0.891 0.891 0.327
Na 0.000 0.000 0.000
Sn 0.500 0.500 0.500
I 0.109 0.109 0.673

***

Here is GeTeRh after structural relaxation from Alexandria. Energies are from PBE.

Total DFT energy (no corrections): -15.5 eV per cell
ΔE_f (raw): -0.144 eV per atom
Calculated density: 8.00 g/cm³
Crystal system: trigonal
Space-group type: P3m1 (156)

Cell: 5.337 3.689 3.689 Å, 120.00 90.00 90.00°
Fractional positions:
Ge 0.070 0.000 0.000
Rh 0.311 0.667 0.333
Te 0.618 0.333 0.667

***

Here is Pm4CuPb2 after structural relaxation from Alexandria. Energies are from PBE.

Energy relative to the lowest polymorph listed for this composition: 0.0 meV per atom
Total DFT energy (no corrections): -65.8 eV per cell
Calculated density: 8.39 g/cm³
Crystal system: monoclinic
Space-group type: P2_1/m (11)

Cell: 6.816 6.811 10.507 Å, 90.00 120.89 90.00°
Fractional positions:
Pb 0.699 0.750 0.116
Pm 0.886 0.250 0.553
Pm 0.179 0.750 0.839
Pb 0.702 0.750 0.531
Pm 0.374 0.004 0.218
Cu 0.003 0.750 0.036
Pb 0.301 0.250 0.884
Cu 0.997 0.250 0.964
Pb 0.298 0.250 0.469
Pm 0.626 0.504 0.782
Pm 0.821 0.250 0.161
Pm 0.626 0.996 0.782
Pm 0.374 0.496 0.218
Pm 0.114 0.750 0.447

***

Here is LiCeAg4 after structural relaxation from Alexandria. Energies are from PBE.

Total DFT energy (no corrections): -19.8 eV per cell
Calculated density: 7.63 g/cm³
Crystal system: cubic
Space-group type: F-43m (216)

Cell: 5.626 5.626 5.626 Å, 60.00 60.00 60.00°
Last column: magnetic moment on the atom in μB.
Fractional positions:
Ag 0.624 0.624 0.128  0.02
Li 0.250 0.250 0.250  0.01
Ag 0.624 0.128 0.624  0.02
Ce 0.000 0.000 0.000  0.95
Ag 0.128 0.624 0.624  0.02
Ag 0.624 0.624 0.624  0.02

***

Here is TaCSe3 after structural relaxation from Alexandria. Energies are from PBE.

Energy relative to the lowest polymorph listed for this composition: 159.7 meV per atom
Total DFT energy (no corrections): -25.3 eV per cell
ΔE_f (raw): 1.243 eV per atom
Calculated density: 5.67 g/cm³
Crystal system: cubic
Space-group type: Pm-3m (221)

Cell: 5.012 5.012 5.012 Å, 90.00 90.00 90.00°
Last column: magnetic moment on the atom in μB.
Fractional positions:
C 0.500 0.500 0.500  0.90
Se 0.500 0.000 0.000  -0.13
Se 0.000 0.000 0.500  -0.17
Ta 0.000 0.000 0.000  0.20
Se 0.000 0.500 0.000  -0.14

***

Here is Cr2CoHg after structural relaxation from Alexandria. Energies are from PBE.

Total DFT energy (no corrections): -23.9 eV per cell
Calculated density: 10.96 g/cm³
Crystal system: orthorhombic
Space-group type: Cmmm (65)

Cell: 4.673 4.673 2.740 Å, 90.00 90.00 112.98°
Last column: magnetic moment on the atom in μB.
Fractional positions:
Co 0.000 0.500 0.500  1.17
Cr 0.500 0.500 0.000  0.65
Cr 0.000 0.000 0.000  0.65
Hg 0.500 0.000 0.500  -0.01

***

Here is CeDyBeZn after structural relaxation from Alexandria. Energies are from PBE.

Total DFT energy (no corrections): -15.6 eV per cell
Calculated density: 7.24 g/cm³
Crystal system: cubic
Space-group type: F-43m (216)

Cell: 4.965 4.965 4.965 Å, 60.00 60.00 60.00°
Last column: magnetic moment on the atom in μB.
Fractional positions:
Dy 0.750 0.750 0.750  0.02
Zn 0.000 0.000 0.000  0.01
Ce 0.250 0.250 0.250  0.21
Be 0.500 0.500 0.500  0.00

***

Here is SnRhAuCl2 after structural relaxation from Alexandria. Energies are from PBE.

Total DFT energy (no corrections): -18.2 eV per cell
ΔE_f (raw): 0.019 eV per atom
Calculated density: 6.98 g/cm³
Crystal system: tetragonal
Space-group type: P4/mmm (123)

Cell: 4.644 5.401 4.644 Å, 90.00 90.00 90.00°
Fractional positions:
Au 0.000 0.500 0.000
Cl 0.500 0.000 0.000
Sn 0.500 0.500 0.500
Cl 0.000 0.000 0.500
Rh 0.000 0.000 0.000

***

Here is Bi2TeF after structural relaxation from Alexandria. Energies are from PBE.

Energy relative to the lowest polymorph listed for this composition: 167.3 meV per atom
Total DFT energy (no corrections): -14.5 eV per cell
ΔE_f (raw): -0.430 eV per atom
Calculated density: 9.15 g/cm³
Crystal system: cubic
Space-group type: Fm-3m (225)

Cell: 5.252 5.252 5.252 Å, 60.00 60.00 60.00°
Fractional positions:
Bi 0.750 0.750 0.750
Te 0.500 0.500 0.500
Bi 0.250 0.250 0.250
F 0.000 0.000 0.000

***

Here is Ac2MgAl12Ni3 after structural relaxation from Alexandria. Energies are from PBE.

Total DFT energy (no corrections): -71.2 eV per cell
Calculated density: 3.95 g/cm³
Crystal system: trigonal
Space-group type: R-3m (166)

Cell: 8.032 8.032 8.032 Å, 65.69 65.69 65.69°
Fractional positions:
Ni 0.000 0.000 0.500
Al 0.131 0.606 0.131
Al 0.869 0.869 0.394
Al 0.280 0.280 0.914
Ac 0.407 0.407 0.407
Al 0.914 0.280 0.280
Al 0.869 0.394 0.869
Al 0.086 0.720 0.720
Al 0.720 0.086 0.720
Ni 0.500 0.000 0.000
Ni 0.000 0.500 0.000
Ac 0.593 0.593 0.593
Al 0.720 0.720 0.086
Al 0.606 0.131 0.131
Al 0.280 0.914 0.280
Al 0.131 0.131 0.606
Al 0.394 0.869 0.869
Mg 0.000 0.000 0.000

***

What is the formula in the second record?
SnMoH2